[1]
K2Cd3Hg6: relaxed, PBE.

Cell: 8.961 8.961 4.616 Å, 90.00 90.00 107.92°
Atoms (fractional coordinates):
K: 0.175 0.825 0.000
K: 0.825 0.175 0.000
Cd: 0.324 0.324 0.000
Cd: 0.500 0.500 0.500
Cd: 0.676 0.676 0.000
Hg: 0.139 0.139 0.500
Hg: 0.166 0.501 0.500
Hg: 0.499 0.834 0.500
Hg: 0.501 0.166 0.500
Hg: 0.834 0.499 0.500
Hg: 0.861 0.861 0.500

Values from the calculation:
Energy, eV/atom: -0.74
DFT formation energy, eV per formula unit: -1.34
Magnetization, μB/f.u.: 0.00
N(E_F), states/eV per atom: 0.29
ΔE to the lowest computed polymorph, meV/atom: 0.0



[2]
K2Cd2Hg: relaxed, PBE.

Cell: 4.205 4.205 21.175 Å, 90.00 90.00 90.00°
Atoms (fractional coordinates):
K: 0.000 0.000 0.103
K: 0.000 0.000 0.897
K: 0.500 0.500 0.397
K: 0.500 0.500 0.603
Cd: 0.000 0.500 0.250
Cd: 0.000 0.500 0.750
Cd: 0.500 0.000 0.250
Cd: 0.500 0.000 0.750
Hg: 0.000 0.000 0.500
Hg: 0.500 0.500 0.000

Values from the calculation:
Energy, eV/atom: -0.95
DFT formation energy, eV per formula unit: -0.44
Magnetization, μB/f.u.: 0.00
N(E_F), states/eV per atom: 0.23
ΔE to the lowest computed polymorph, meV/atom: 51.2